Computed, not measured: crystalline La8HOs3I3 at its relaxed geometry at the GGA-PBE level of DFT.

a b c (Å): 8.372 8.381 9.551
angles (deg): 116.06 90.01 119.97
Fractional coordinates of all 15 atoms:
La (0.270, 0.540, 0.310)
La (0.280, 0.048, 0.317)
La (0.769, 0.048, 0.317)
La (0.231, 0.463, 0.683)
La (0.730, 0.460, 0.690)
La (0.231, 0.952, 0.683)
La (0.720, 0.952, 0.683)
La (0.769, 0.537, 0.317)
I (0.000, 0.000, 0.000)
I (0.500, 0.500, 0.000)
I (0.000, 0.500, 0.000)
H (0.000, 0.000, 0.500)
Os (0.500, 0.000, 0.500)
Os (0.500, 0.500, 0.500)
Os (0.000, 0.500, 0.500)

Results
SG: No. 12
Final energy, eV for the cell shown: -89.64
Size of the total moment, Bohr magnetons per cell: 0.928